# 1
DFT (PBE-GGA) results for a relaxed ThGa4Ni2 crystal.

```
7
Lattice="2.118 -6.669 0.000 2.118 6.669 0.000 0.000 0.000 4.262" Properties=species:S:1:pos:R:3 pbc="T T T"
Th 0.000 0.000 0.000
Ga 2.118 4.258 2.131
Ga 2.118 2.408 0.000
Ga 2.118 -2.408 0.000
Ga 2.118 -4.258 2.131
Ni 2.118 1.214 2.131
Ni 2.118 -1.214 2.131
```

Computed properties:
As for the polymorph energy (0 for the lowest one): 0.88 eV/f.u. For the total magnetization, the calculation gives 0.0 μB/f.u. Its formation energy is -2.82 eV/f.u.

# 2
DFT (PBE-GGA) results for a relaxed Th2GaNi7 crystal.

```
10
Lattice="3.827 0.000 0.000 0.000 3.827 0.000 0.000 0.000 10.696" Properties=species:S:1:pos:R:3 pbc="T T T"
Th 0.000 1.914 2.477
Th 1.914 0.000 8.219
Ga 0.000 0.000 5.348
Ni 0.000 0.000 0.000
Ni 0.000 1.914 6.852
Ni 0.000 1.914 9.206
Ni 1.914 0.000 1.490
Ni 1.914 0.000 3.844
Ni 1.914 1.914 0.000
Ni 1.914 1.914 5.348
```

Computed properties:
For the total magnetization, the calculation gives 0.0 μB/f.u. Its formation energy is -3.72 eV/f.u.

# 3
DFT (PBE-GGA) results for a relaxed Th3Ga2Ni6 crystal.

```
22
Lattice="-4.540 4.540 4.540 4.540 -4.540 4.540 4.540 4.540 -4.540" Properties=species:S:1:pos:R:3 pbc="T T T"
Th 2.623 0.000 0.000
Th 6.457 0.000 0.000
Th 0.000 2.623 0.000
Th 0.000 0.000 2.623
Th 0.000 6.457 0.000
Th 0.000 0.000 6.457
Ga 2.270 2.270 -2.270
Ga 2.270 -2.270 2.270
Ga -2.270 2.270 2.270
Ga 2.270 2.270 2.270
Ni 4.540 1.470 -1.470
Ni 4.540 -1.470 1.470
Ni 4.540 1.470 1.470
Ni 1.470 4.540 -1.470
Ni 3.070 3.070 0.000
Ni 1.470 -1.470 4.540
Ni 3.070 0.000 3.070
Ni -1.470 4.540 1.470
Ni 1.470 4.540 1.470
Ni -1.470 1.470 4.540
Ni 1.470 1.470 4.540
Ni 0.000 3.070 3.070
```

Computed properties:
For the total magnetization, the calculation gives 0.0 μB/f.u. Its formation energy is -5.64 eV/f.u.

# 4
DFT (PBE-GGA) results for a relaxed ThGa4Ni4 crystal.

```
18
Lattice="5.721 0.000 0.000 0.000 5.721 0.000 0.000 0.000 8.467" Properties=species:S:1:pos:R:3 pbc="T T T"
Th 1.430 4.291 2.117
Th 4.291 1.430 6.351
Ga 0.188 1.430 0.540
Ga 1.430 0.188 4.774
Ga 1.430 2.672 4.774
Ga 2.672 1.430 0.540
Ga 3.049 4.291 7.928
Ga 4.291 3.049 3.694
Ga 4.291 5.533 3.694
Ga 5.533 4.291 7.928
Ni 0.181 1.430 2.956
Ni 1.430 0.181 7.189
Ni 1.430 2.679 7.189
Ni 2.679 1.430 2.956
Ni 3.042 4.291 5.512
Ni 4.291 3.042 1.278
Ni 4.291 5.540 1.278
Ni 5.540 4.291 5.512
```

Computed properties:
As for the polymorph energy (0 for the lowest one): 0.00 eV/f.u. For the total magnetization, the calculation gives 0.0 μB/f.u. Its formation energy is -3.86 eV/f.u.

# 5
DFT (PBE-GGA) results for a relaxed ThGa2Ni9 crystal.

```
12
Lattice="2.445 1.411 7.693 -2.445 1.411 7.693 0.000 -2.823 7.693" Properties=species:S:1:pos:R:3 pbc="T T T"
Th 0.000 0.000 0.000
Ga 0.000 0.000 3.329
Ga 0.000 0.000 19.751
Ni -1.244 -0.718 9.717
Ni 0.000 0.000 7.709
Ni 0.000 -1.436 13.362
Ni -1.244 0.718 13.362
Ni 0.000 0.000 11.540
Ni 1.244 -0.718 9.717
Ni 0.000 1.436 9.717
Ni 0.000 0.000 15.371
Ni 1.244 0.718 13.362
```

Computed properties:
For the total magnetization, the calculation gives 0.0 μB/f.u. Its formation energy is -3.35 eV/f.u.

# 6
DFT (PBE-GGA) results for a relaxed Th2Ga2Ni3 crystal.

```
7
Lattice="5.444 -2.088 0.000 5.444 2.088 0.000 -0.415 0.000 5.838" Properties=species:S:1:pos:R:3 pbc="T T T"
Th 1.297 0.000 1.825
Th 9.176 0.000 4.013
Ga 4.326 0.000 0.755
Ga 6.147 0.000 5.083
Ni 2.023 0.000 5.002
Ni 5.237 0.000 2.919
Ni 8.450 0.000 0.836
```

Computed properties:
As for the polymorph energy (0 for the lowest one): 0.63 eV/f.u. For the total magnetization, the calculation gives 0.0 μB/f.u. Its formation energy is -3.26 eV/f.u.